An optimized crystal structure of CsRbCd3. Source: Alexandria, functional GGA-PBEsol.

```
5
Lattice="6.457 0.000 0.000 0.000 6.457 0.000 0.000 0.000 6.457" Properties=species:S:1:pos:R:3 pbc="T T T"
Cs 0.000 0.000 0.000
Rb 3.229 3.229 3.229
Cd 0.000 3.229 3.229
Cd 3.229 0.000 3.229
Cd 3.229 3.229 0.000
```

- Raw total energy: -0.673 eV/atom
- Symmetry: Pm-3m
- Theoretical density: 3.427 g/cm³
- Size of the total moment: 0.00 μB per cell
- Crystal system: cubic


An optimized crystal structure of Cs2RbCd2. Source: Alexandria, functional GGA-PBEsol.

```
10
Lattice="9.700 0.000 0.000 0.000 9.700 0.000 0.000 0.000 5.621" Properties=species:S:1:pos:R:3 pbc="T T T"
Cs 1.688 3.162 0.000
Cs 3.162 8.012 0.000
Cs 6.538 1.688 0.000
Cs 8.012 6.538 0.000
Rb 0.000 0.000 2.810
Rb 4.850 4.850 2.810
Cd 1.043 5.893 2.810
Cd 3.807 1.043 2.810
Cd 5.893 8.657 2.810
Cd 8.657 3.807 2.810
```

- Raw total energy: -1.023 eV/atom
- Symmetry: P4/mbm
- Theoretical density: 3.618 g/cm³
- Size of the total moment: 0.00 μB per cell
- Crystal system: tetragonal
- Offset from the most stable computed form: 0.000 eV/atom


An optimized crystal structure of CsRbCd2. Source: Alexandria, functional GGA-PBEsol.

```
4
Lattice="0.000 4.421 4.421 4.421 0.000 4.421 4.421 4.421 0.000" Properties=species:S:1:pos:R:3 pbc="T T T"
Cs 0.000 0.000 0.000
Rb 4.421 4.421 4.421
Cd 2.211 2.211 2.211
Cd 6.632 6.632 6.632
```

- Raw total energy: -0.965 eV/atom
- Symmetry: Fm-3m
- Theoretical density: 4.258 g/cm³
- Size of the total moment: 0.00 μB per cell
- Crystal system: cubic


An optimized crystal structure of CsCdRu3. Source: Alexandria, functional GGA-PBEsol.

```
5
Lattice="4.795 0.000 0.000 0.000 4.795 0.000 0.000 0.000 4.795" Properties=species:S:1:pos:R:3 pbc="T T T"
Cs 0.000 0.000 0.000
Cd 2.397 2.397 2.397
Ru 0.000 0.000 2.397
Ru 0.000 2.397 0.000
Ru 2.397 0.000 0.000
```

- Raw total energy: -3.772 eV/atom
- Symmetry: Pm-3m
- Theoretical density: 8.262 g/cm³
- Size of the total moment: 1.23 μB per cell
- Crystal system: cubic


An optimized crystal structure of CsCdS2. Source: Alexandria, functional GGA-PBEsol.

```
4
Lattice="2.662 1.537 7.738 -2.662 1.537 7.738 0.000 -3.073 7.738" Properties=species:S:1:pos:R:3 pbc="T T T"
Cs 0.000 0.000 0.000
Cd 0.000 0.000 11.607
S 0.000 0.000 9.321
S 0.000 0.000 13.893
```

- Raw total energy: -2.972 eV/atom
- Formation energy without anion corrections: -23.6 kJ per mole of atoms
- Symmetry: R-3m
- Theoretical density: 2.706 g/cm³
- Size of the total moment: 1.03 μB per cell
- Crystal system: trigonal


An optimized crystal structure of Cs2CdSb. Source: Alexandria, functional GGA-PBEsol.

```
4
Lattice="0.000 4.418 4.418 4.418 0.000 4.418 4.418 4.418 0.000" Properties=species:S:1:pos:R:3 pbc="T T T"
Cs 2.209 2.209 2.209
Cs 6.627 6.627 6.627
Cd 0.000 0.000 0.000
Sb 4.418 4.418 4.418
```

- Raw total energy: -1.964 eV/atom
- Formation energy without anion corrections: -5.2 kJ per mole of atoms
- Symmetry: Fm-3m
- Theoretical density: 4.815 g/cm³
- Size of the total moment: 0.95 μB per cell
- Crystal system: cubic


An optimized crystal structure of CsCd2Sb2. Source: Alexandria, functional GGA-PBEsol.

```
5
Lattice="-2.462 2.462 6.262 2.462 -2.462 6.262 2.462 2.462 -6.262" Properties=species:S:1:pos:R:3 pbc="T T T"
Cs 0.000 0.000 0.000
Cd 0.000 0.000 4.880
Cd 0.000 0.000 7.643
Sb 2.462 0.000 3.131
Sb 0.000 2.462 3.131
```

- Raw total energy: -2.687 eV/atom
- Formation energy without anion corrections: -19.0 kJ per mole of atoms
- Symmetry: I4/mmm
- Theoretical density: 6.575 g/cm³
- Size of the total moment: 0.00 μB per cell
- Crystal system: tetragonal


An optimized crystal structure of CsCd2TcSb. Source: Alexandria, functional GGA-PBEsol.

```
5
Lattice="5.382 0.000 0.000 0.000 5.382 0.000 0.000 0.000 5.023" Properties=species:S:1:pos:R:3 pbc="T T T"
Cs 0.000 0.000 0.000
Cd 0.000 2.691 2.511
Cd 2.691 0.000 2.511
Tc 2.691 2.691 2.511
Sb 2.691 2.691 0.000
```

- Raw total energy: -3.706 eV/atom
- Formation energy without anion corrections: 12.1 kJ per mole of atoms
- Symmetry: P4/mmm
- Theoretical density: 6.592 g/cm³
- Size of the total moment: 0.00 μB per cell
- Crystal system: tetragonal


An optimized crystal structure of CsCdSe. Source: Alexandria, functional GGA-PBEsol.

```
6
Lattice="5.878 -2.192 0.000 5.878 2.192 0.000 -4.711 0.000 7.335" Properties=species:S:1:pos:R:3 pbc="T T T"
Cs -0.853 0.000 2.625
Cs 7.897 0.000 4.710
Cd -0.205 0.000 7.009
Cd 7.249 0.000 0.326
Se 2.473 0.000 1.640
Se 4.571 0.000 5.696
```

- Raw total energy: -2.791 eV/atom
- Formation energy without anion corrections: -76.6 kJ per mole of atoms
- Symmetry: C2/m
- Theoretical density: 5.699 g/cm³
- Size of the total moment: 0.00 μB per cell
- Crystal system: monoclinic


An optimized crystal structure of CsTbCdSe3. Source: Alexandria, functional GGA-PBEsol.

```
12
Lattice="2.111 -7.921 0.000 2.111 7.921 0.000 0.000 0.000 10.982" Properties=species:S:1:pos:R:3 pbc="T T T"
Cs 2.111 4.037 8.236
Cs 2.111 -4.037 2.745
Tb 2.111 0.000 0.000
Tb 2.111 0.000 5.491
Cd 2.111 7.293 2.745
Cd 2.111 -7.293 8.236
Se 2.111 6.011 0.497
Se 2.111 6.011 4.994
Se 2.111 0.993 2.745
Se 2.111 -0.993 8.236
Se 2.111 -6.011 5.987
Se 2.111 -6.011 10.485
```

- Raw total energy: -4.476 eV/atom
- Formation energy without anion corrections: -131.2 kJ per mole of atoms
- Symmetry: Cmcm
- Theoretical density: 5.796 g/cm³
- Size of the total moment: 0.00 μB per cell
- Crystal system: orthorhombic


An optimized crystal structure of CsYCdSe3. Source: Alexandria, functional GGA-PBEsol.

```
12
Lattice="2.106 -7.916 0.000 2.106 7.916 0.000 0.000 0.000 10.970" Properties=species:S:1:pos:R:3 pbc="T T T"
Cs 2.106 4.039 8.227
Cs 2.106 -4.039 2.742
Y 2.106 0.000 0.000
Y 2.106 0.000 5.485
Cd 2.106 7.278 2.742
Cd 2.106 -7.278 8.227
Se 2.106 6.010 0.486
Se 2.106 6.010 4.999
Se 2.106 0.987 2.742
Se 2.106 -0.987 8.227
Se 2.106 -6.010 5.971
Se 2.106 -6.010 10.484
```

- Raw total energy: -4.789 eV/atom
- Formation energy without anion corrections: -132.2 kJ per mole of atoms
- Symmetry: Cmcm
- Theoretical density: 5.186 g/cm³
- Size of the total moment: 0.00 μB per cell
- Crystal system: orthorhombic


An optimized crystal structure of CsSmCdTe3. Source: Alexandria, functional GGA-PBEsol.

```
12
Lattice="2.249 -8.366 0.000 2.249 8.366 0.000 0.000 0.000 11.753" Properties=species:S:1:pos:R:3 pbc="T T T"
Cs 2.249 4.186 8.814
Cs 2.249 -4.186 2.938
Sm 0.000 0.000 0.000
Sm 0.000 0.000 5.876
Cd 2.249 0.629 2.938
Cd 2.249 -0.629 8.814
Te 2.249 7.236 2.938
Te 2.249 2.107 0.575
Te 2.249 2.107 5.301
Te 2.249 -2.107 6.452
Te 2.249 -2.107 11.177
Te 2.249 -7.236 8.814
```

- Raw total energy: -4.042 eV/atom
- Formation energy without anion corrections: -103.6 kJ per mole of atoms
- Symmetry: Cmcm
- Theoretical density: 5.846 g/cm³
- Size of the total moment: 0.00 μB per cell
- Crystal system: orthorhombic


An optimized crystal structure of Cs2CdSn. Source: Alexandria, functional GGA-PBEsol.

```
4
Lattice="0.000 4.481 4.481 4.481 0.000 4.481 4.481 4.481 0.000" Properties=species:S:1:pos:R:3 pbc="T T T"
Cs 2.240 2.240 2.240
Cs 6.721 6.721 6.721
Cd 0.000 0.000 0.000
Sn 4.481 4.481 4.481
```

- Raw total energy: -1.680 eV/atom
- Symmetry: Fm-3m
- Theoretical density: 4.587 g/cm³
- Size of the total moment: 1.96 μB per cell
- Crystal system: cubic


An optimized crystal structure of CsCd2Sn2. Source: Alexandria, functional GGA-PBEsol.

```
5
Lattice="-2.403 2.403 6.464 2.403 -2.403 6.464 2.403 2.403 -6.464" Properties=species:S:1:pos:R:3 pbc="T T T"
Cs 0.000 0.000 0.000
Cd 0.000 0.000 5.047
Cd 0.000 0.000 7.882
Sn 2.403 0.000 3.232
Sn 0.000 2.403 3.232
```

- Raw total energy: -2.488 eV/atom
- Symmetry: I4/mmm
- Theoretical density: 6.618 g/cm³
- Size of the total moment: 0.00 μB per cell
- Crystal system: tetragonal


An optimized crystal structure of Cs2SrCd. Source: Alexandria, functional GGA-PBEsol.

```
4
Lattice="0.000 4.891 4.891 4.891 0.000 4.891 4.891 4.891 0.000" Properties=species:S:1:pos:R:3 pbc="T T T"
Cs 2.445 2.445 2.445
Cs 7.336 7.336 7.336
Sr 0.000 0.000 0.000
Cd 4.891 4.891 4.891
```

- Raw total energy: -0.957 eV/atom
- Symmetry: Fm-3m
- Theoretical density: 3.306 g/cm³
- Size of the total moment: 0.39 μB per cell
- Crystal system: cubic


An optimized crystal structure of CsCd3Tc. Source: Alexandria, functional GGA-PBEsol.

```
5
Lattice="5.325 0.000 0.000 0.000 5.325 0.000 0.000 0.000 5.325" Properties=species:S:1:pos:R:3 pbc="T T T"
Cs 0.000 0.000 0.000
Cd 0.000 2.663 2.663
Cd 2.663 0.000 2.663
Cd 2.663 2.663 0.000
Tc 2.663 2.663 2.663
```

- Raw total energy: -2.602 eV/atom
- Symmetry: Pm-3m
- Theoretical density: 6.248 g/cm³
- Size of the total moment: 1.26 μB per cell
- Crystal system: cubic


An optimized crystal structure of Cs3CdTe. Source: Alexandria, functional GGA-PBEsol.

```
5
Lattice="7.238 0.000 0.000 0.000 7.238 0.000 0.000 0.000 7.238" Properties=species:S:1:pos:R:3 pbc="T T T"
Cs 0.000 0.000 3.619
Cs 0.000 3.619 0.000
Cs 3.619 0.000 0.000
Cd 3.619 3.619 3.619
Te 0.000 0.000 0.000
```

- Raw total energy: -1.867 eV/atom
- Formation energy without anion corrections: -34.5 kJ per mole of atoms
- Symmetry: Pm-3m
- Theoretical density: 2.797 g/cm³
- Size of the total moment: 0.10 μB per cell
- Crystal system: cubic


An optimized crystal structure of CsTi2Cd2. Source: Alexandria, functional GGA-PBEsol.

```
5
Lattice="-1.827 1.827 10.085 1.827 -1.827 10.085 1.827 1.827 -10.085" Properties=species:S:1:pos:R:3 pbc="T T T"
Cs 0.000 0.000 0.000
Ti 1.827 0.000 5.042
Ti 0.000 1.827 5.042
Cd 0.000 0.000 7.335
Cd 0.000 0.000 12.834
```

- Raw total energy: -3.549 eV/atom
- Symmetry: I4/mmm
- Theoretical density: 5.589 g/cm³
- Size of the total moment: 0.00 μB per cell
- Crystal system: tetragonal


An optimized crystal structure of Cs2TlCd2. Source: Alexandria, functional GGA-PBEsol.

```
10
Lattice="7.874 0.000 0.000 0.000 7.874 0.000 0.000 0.000 6.152" Properties=species:S:1:pos:R:3 pbc="T T T"
Cs 1.404 2.533 0.000
Cs 2.533 6.470 0.000
Cs 5.340 1.404 0.000
Cs 6.470 5.340 0.000
Tl 0.000 0.000 3.076
Tl 3.937 3.937 3.076
Cd 1.045 4.982 3.076
Cd 2.892 1.045 3.076
Cd 4.982 6.829 3.076
Cd 6.829 2.892 3.076
```

- Raw total energy: -1.332 eV/atom
- Symmetry: P4/mbm
- Theoretical density: 6.052 g/cm³
- Size of the total moment: 0.00 μB per cell
- Crystal system: tetragonal


An optimized crystal structure of CsTlCd2. Source: Alexandria, functional GGA-PBEsol.

```
4
Lattice="0.000 3.983 3.983 3.983 0.000 3.983 3.983 3.983 0.000" Properties=species:S:1:pos:R:3 pbc="T T T"
Cs 0.000 0.000 0.000
Tl 3.983 3.983 3.983
Cd 1.992 1.992 1.992
Cd 5.975 5.975 5.975
```

- Raw total energy: -1.356 eV/atom
- Symmetry: Fm-3m
- Theoretical density: 7.383 g/cm³
- Size of the total moment: 0.00 μB per cell
- Crystal system: cubic